1.
Here is crystalline Ir2S2BrCl at its relaxed geometry from OQMD via LeMat-Bulk. Energies are from PBE-GGA.

Lattice parameters (Å, degrees): 3.586 4.642 8.556 90.00 90.00 90.00
Atoms (fractional coordinates):
Br  0.000  0.000  0.169
Cl  0.500  0.500  0.817
Ir  0.500  0.000  0.383
Ir  0.000  0.500  0.623
S  0.500  0.500  0.448
S  0.000  0.000  0.558

Output
The value obtained for the uncorrected energy is -5.297 eV per atom. The calculation puts the density at 6.575 g cm⁻³. As for the symmetry: Pmm2 (25). The size of the total moment comes out at 0.003 μB/f.u.

2.
Here is crystalline CsUTe at its relaxed geometry from OQMD via LeMat-Bulk. Energies are from PBE-GGA.

Lattice parameters (Å, degrees): 5.439 5.439 5.439 60.00 60.00 60.00
Atoms (fractional coordinates):
Cs  0.250  0.250  0.250
Te  0.750  0.750  0.750
U  0.000  0.000  0.000

Output
The calculation puts the density at 7.276 g cm⁻³. As for the symmetry: F-43m (216). The energy above the most stable polymorph in this dataset is 0 meV/atom. The size of the total moment comes out at 4.811 μB/f.u.

3.
Here is crystalline NbFeSnPt at its relaxed geometry from OQMD via LeMat-Bulk. Energies are from PBE-GGA.

Lattice parameters (Å, degrees): 4.549 4.549 4.549 60.00 60.00 60.00
Atoms (fractional coordinates):
Fe  0.750  0.750  0.750
Nb  0.500  0.500  0.500
Pt  0.250  0.250  0.250
Sn  0.000  0.000  0.000

Output
The calculation puts the density at 11.536 g cm⁻³. As for the symmetry: F-43m (216). The energy above the most stable polymorph in this dataset is 0 meV/atom. The size of the total moment comes out at 1.737 μB/f.u.

4.
Here is crystalline SiSb2Pd6 at its relaxed geometry from OQMD via LeMat-Bulk. Energies are from PBE-GGA.

Lattice parameters (Å, degrees): 7.005 7.005 3.533 90.00 90.00 120.00
Atoms (fractional coordinates):
Pd  0.753  0.000  0.000
Pd  0.247  0.247  0.000
Pd  0.000  0.753  0.000
Pd  0.377  0.000  0.500
Pd  0.000  0.377  0.500
Pd  0.623  0.623  0.500
Sb  0.667  0.333  0.000
Sb  0.333  0.667  0.000
Si  0.000  0.000  0.500

Output
The value obtained for the uncorrected energy is -5.513 eV per atom. The calculation puts the density at 10.066 g cm⁻³. As for the symmetry: P-62m (189).

5.
Here is crystalline TePd at its relaxed geometry from OQMD via LeMat-Bulk. Energies are from PBE-GGA.

Lattice parameters (Å, degrees): 3.965 3.965 5.724 90.00 90.00 90.00
Atoms (fractional coordinates):
Pd  0.000  0.000  0.000
Pd  0.500  0.500  0.000
Te  0.000  0.500  0.324
Te  0.500  0.000  0.676

Output
The value obtained for the uncorrected energy is -4.402 eV per atom. The calculation puts the density at 8.635 g cm⁻³. As for the symmetry: P4/nmm (129).

6.
Here is crystalline Na2DyLuO4 at its relaxed geometry from OQMD via LeMat-Bulk. Energies are from PBE-GGA.

Lattice parameters (Å, degrees): 13.922 13.922 3.181 94.37 94.37 153.60
Atoms (fractional coordinates):
Dy  0.737  0.263  0.000
Dy  0.263  0.737  0.000
Lu  0.608  0.392  0.000
Lu  0.392  0.608  0.000
Na  0.952  0.048  0.000
Na  0.852  0.148  0.000
Na  0.148  0.852  0.000
Na  0.048  0.952  0.000
O  0.472  0.063  0.307
O  0.063  0.472  0.307
O  0.365  0.187  0.364
O  0.187  0.365  0.364
O  0.813  0.635  0.636
O  0.635  0.813  0.636
O  0.937  0.528  0.693
O  0.528  0.937  0.693

Output
The calculation puts the density at 5.749 g cm⁻³. As for the symmetry: C2/m (12). The energy above the most stable polymorph in this dataset is 0 meV/atom. The size of the total moment comes out at 0.002 μB/f.u.

7.
Here is crystalline AgPbSO at its relaxed geometry from OQMD via LeMat-Bulk. Energies are from PBE-GGA.

Lattice parameters (Å, degrees): 4.533 4.533 8.268 90.00 90.00 90.00
Atoms (fractional coordinates):
Ag  0.750  0.750  0.253
Ag  0.250  0.250  0.747
O  0.250  0.250  0.478
O  0.750  0.750  0.522
Pb  0.750  0.250  0.000
Pb  0.250  0.750  0.000
S  0.250  0.250  0.294
S  0.750  0.750  0.706

Output
The calculation puts the density at 7.100 g cm⁻³. As for the symmetry: P4/nmm (129). The energy above the most stable polymorph in this dataset is 402 meV/atom.

8.
Here is crystalline NbHgPd2 at its relaxed geometry from OQMD via LeMat-Bulk. Energies are from PBE-GGA.

Lattice parameters (Å, degrees): 4.590 4.590 4.590 60.00 60.00 60.00
Atoms (fractional coordinates):
Hg  0.250  0.250  0.250
Nb  0.500  0.500  0.500
Pd  0.000  0.000  0.000
Pd  0.750  0.750  0.750

Output
The calculation puts the density at 12.292 g cm⁻³. As for the symmetry: F-43m (216). The size of the total moment comes out at 0.010 μB/f.u. As for the energy relative to the elements: -0.0193 eV per atom.

9.
Here is crystalline Dy3Er3Te2Os at its relaxed geometry from OQMD via LeMat-Bulk. Energies are from PBE-GGA.

Lattice parameters (Å, degrees): 8.268 8.268 4.044 90.00 90.00 120.00
Atoms (fractional coordinates):
Dy  0.240  0.000  0.500
Dy  0.000  0.240  0.500
Dy  0.760  0.760  0.500
Er  0.612  0.000  0.000
Er  0.388  0.388  0.000
Er  0.000  0.612  0.000
Os  0.000  0.000  0.000
Te  0.667  0.333  0.500
Te  0.333  0.667  0.500

Output
The calculation puts the density at 9.949 g cm⁻³. As for the symmetry: P-62m (189). The energy above the most stable polymorph in this dataset is 37 meV/atom. The size of the total moment comes out at 0.014 μB/f.u.

10.
Here is crystalline ErAlZnNi at its relaxed geometry from OQMD via LeMat-Bulk. Energies are from PBE-GGA.

Lattice parameters (Å, degrees): 5.177 5.177 7.045 90.20 90.20 46.21
Atoms (fractional coordinates):
Al  0.351  0.351  0.443
Al  0.649  0.649  0.557
Er  0.065  0.065  0.242
Er  0.935  0.935  0.758
Ni  0.780  0.780  0.259
Ni  0.220  0.220  0.741
Zn  0.351  0.351  0.054
Zn  0.649  0.649  0.946

Output
The calculation puts the density at 7.756 g cm⁻³. As for the symmetry: C2/m (12). The energy above the most stable polymorph in this dataset is 0 meV/atom. The size of the total moment comes out at 0.001 μB/f.u.

11.
Here is crystalline ScGa2Ag at its relaxed geometry from OQMD via LeMat-Bulk. Energies are from PBE-GGA.

Lattice parameters (Å, degrees): 4.702 4.702 4.702 60.00 60.00 60.00
Atoms (fractional coordinates):
Ag  0.000  0.000  0.000
Ga  0.500  0.500  0.500
Ga  0.750  0.750  0.750
Sc  0.250  0.250  0.250

Output
The value obtained for the uncorrected energy is -4.069 eV per atom. The calculation puts the density at 6.600 g cm⁻³. As for the symmetry: F-43m (216). The size of the total moment comes out at 0.001 μB/f.u.

12.
Here is crystalline HfNbSi2Ni at its relaxed geometry from OQMD via LeMat-Bulk. Energies are from PBE-GGA.

Lattice parameters (Å, degrees): 5.267 5.267 9.281 115.62 115.62 41.02
Atoms (fractional coordinates):
Hf  0.197  0.197  0.109
Hf  0.803  0.803  0.891
Nb  0.986  0.986  0.323
Nb  0.014  0.014  0.677
Ni  0.714  0.714  0.354
Ni  0.286  0.286  0.646
Si  0.481  0.481  0.119
Si  0.360  0.360  0.441
Si  0.640  0.640  0.559
Si  0.519  0.519  0.881

Output
The calculation puts the density at 8.559 g cm⁻³. As for the symmetry: C2/m (12). The energy above the most stable polymorph in this dataset is 8 meV/atom. The size of the total moment comes out at 0.000 μB/f.u.